DFT (GGA-PBE) results for a geometry-optimized Mo2RuW structure.

Output
M_tot: 0.0 μB per formula unit
symmetry: P2/m
formation energy from the elements: 0.113 eV per atom
energy above the lowest structure with this stoichiometry: 0.004 eV/atom

a b c (Å): 2.745 4.426 5.203
angles (deg): 90.00 101.06 90.00
Fractional positions:
Mo (0.226, 0.000, 0.251)
Mo (0.774, 0.000, 0.749)
Ru (0.500, 0.500, 0.000)
W (0.000, 0.500, 0.500)